A relaxed structure of NpGaTcRu, computed with GGA-PBE.

Values from the calculation:
E_form = -166 meV/atom

Cell lengths 6.431, 6.431, 6.431 Å; angles 90.00, 90.00, 90.00 degrees
Space group F-43m (No. 216)
One atom of each set of equivalent atoms:
Np 0.000 0.000 0.000 (multiplicity 4)
Ga 0.000 0.000 0.500 (multiplicity 4)
Tc 0.250 0.250 0.750 (multiplicity 4)
Ru 0.250 0.250 0.250 (multiplicity 4)